The following is a DFT calculation (PBE-GGA) of a geometry-optimized NaMg3Ag structure.

a = 5.2894 Å, b = 5.2894 Å, c = 5.2894 Å
α = 90.00°, β = 90.00°, γ = 90.00°
Element x y z (fractional)
Na 0.0000 0.0000 0.0000
Mg 0.5000 0.0000 0.0000
Mg 0.0000 0.5000 0.0000
Mg 0.0000 0.0000 0.5000
Ag 0.5000 0.5000 0.5000

Output
ΔE_f ... 0.776 eV/atom
Energy above the lowest structure with this stoichiometry ... 0.691 eV/atom
Total DFT energy (no corrections) ... -1.015 eV per atom
N(E_F) ... 2.1 states/eV/cell